[1]
Material: Tl2GaF5
Method: DFT, PBE-GGA
State: relaxed

energy relative to the lowest polymorph listed for this composition	0.030	eV per atom

```
data_Tl2GaF5
_space_group_name_H-M_alt 'P 1'
_space_group_IT_number 1
_cell_length_a 6.359
_cell_length_b 6.359
_cell_length_c 6.266
_cell_angle_alpha 120.50
_cell_angle_beta 120.50
_cell_angle_gamma 90.00
loop_
_space_group_symop_operation_xyz
'x,y,z'
loop_
_atom_site_label
_atom_site_fract_x
_atom_site_fract_y
_atom_site_fract_z
_atom_site_occupancy
F1 0.827 0.827 0.062 1
F2 0.768 0.768 0.537 1
Ga1 0.977 0.977 0.954 1
F3 0.235 0.235 0.062 1
Tl1 0.204 0.704 0.408 1
Tl2 0.704 0.204 0.408 1
F4 0.827 0.235 0.062 1
F5 0.235 0.827 0.062 1
```



[2]
Material: Th4MgIn3
Method: DFT, PBE-GGA
State: relaxed

energy of formation	-0.205	eV/atom

```
data_Th4MgIn3
_space_group_name_H-M_alt 'P 1'
_space_group_IT_number 1
_cell_length_a 4.702
_cell_length_b 4.910
_cell_length_c 9.843
_cell_angle_alpha 90.00
_cell_angle_beta 90.00
_cell_angle_gamma 90.00
loop_
_space_group_symop_operation_xyz
'x,y,z'
loop_
_atom_site_label
_atom_site_fract_x
_atom_site_fract_y
_atom_site_fract_z
_atom_site_occupancy
In1 0.500 0.000 0.244 1
In2 0.500 0.000 0.756 1
Th1 0.000 0.500 0.749 1
Mg1 0.500 0.500 0.000 1
Th2 0.000 0.000 0.500 1
Th3 0.000 0.000 0.000 1
Th4 0.000 0.500 0.251 1
In3 0.500 0.500 0.500 1
```



[3]
Material: Ac2Ce2O7
Method: DFT, PBE-GGA
State: relaxed

```
data_Ac2Ce2O7
_space_group_name_H-M_alt 'P 1'
_space_group_IT_number 1
_cell_length_a 8.085
_cell_length_b 8.085
_cell_length_c 8.085
_cell_angle_alpha 60.00
_cell_angle_beta 60.00
_cell_angle_gamma 60.00
loop_
_space_group_symop_operation_xyz
'x,y,z'
loop_
_atom_site_label
_atom_site_fract_x
_atom_site_fract_y
_atom_site_fract_z
_atom_site_occupancy
O1 0.465 0.035 0.465 1
O2 0.215 0.215 0.785 1
O3 0.465 0.465 0.035 1
O4 0.500 0.500 0.500 1
Ac1 0.625 0.125 0.625 1
O5 0.465 0.035 0.035 1
Ce1 0.125 0.125 0.625 1
O6 0.035 0.465 0.035 1
O7 0.750 0.750 0.750 1
O8 0.785 0.785 0.215 1
O9 0.215 0.785 0.215 1
Ac2 0.625 0.625 0.125 1
Ac3 0.125 0.625 0.625 1
O10 0.035 0.465 0.465 1
O11 0.785 0.215 0.215 1
Ac4 0.625 0.625 0.625 1
Ce2 0.125 0.625 0.125 1
O12 0.215 0.785 0.785 1
O13 0.035 0.035 0.465 1
O14 0.785 0.215 0.785 1
Ce3 0.125 0.125 0.125 1
Ce4 0.625 0.125 0.125 1
```



DFT total energy, respectively: -34.99, -41.13, -185.33 eV for the cell shown.
Calculated density, respectively: 5.4, 9.5, 7.5 g cm⁻³.